[1]
VASP calculation (PBE) on crystalline Tb3Nd2Ho6 at its relaxed geometry.

Results
V = 33.79 Å³/atom
DFT total energy = -4.36 eV per atom
ΔE to the lowest computed polymorph = 85 meV/atom
energy relative to the elements = 26 kJ per mole of atoms

Cell: 4.731 4.731 16.940 Å, 98.03 98.03 90.00°
Atoms (fractional coordinates):
1 Tb 0.000 0.000 0.000
2 Tb 0.798 0.798 0.597
3 Tb 0.202 0.202 0.403
4 Nd 0.454 0.454 0.908
5 Nd 0.546 0.546 0.092
6 Ho 0.122 0.622 0.244
7 Ho 0.622 0.122 0.244
8 Ho 0.878 0.378 0.756
9 Ho 0.378 0.878 0.756
10 Ho 0.695 0.695 0.391
11 Ho 0.305 0.305 0.609

***

[2]
VASP calculation (PBE) on crystalline TbNd14Ho at its relaxed geometry.

Results
V = 34.76 Å³/atom
DFT total energy = -4.73 eV per atom
energy relative to the elements = 1 kJ per mole of atoms

Cell: 7.328 7.328 10.358 Å, 90.00 90.00 90.00°
Atoms (fractional coordinates):
1 Tb 0.875 0.125 0.000
2 Nd 0.375 0.625 0.500
3 Nd 0.875 0.125 0.500
4 Nd 0.875 0.625 0.000
5 Nd 0.875 0.625 0.500
6 Nd 0.375 0.125 0.000
7 Nd 0.375 0.125 0.500
8 Nd 0.625 0.875 0.752
9 Nd 0.625 0.875 0.248
10 Nd 0.125 0.375 0.752
11 Nd 0.125 0.375 0.248
12 Nd 0.125 0.875 0.752
13 Nd 0.125 0.875 0.248
14 Nd 0.625 0.375 0.752
15 Nd 0.625 0.375 0.248
16 Ho 0.375 0.625 0.000

***

[3]
VASP calculation (PBE) on crystalline Tb2Nd3Ho2 at its relaxed geometry.

Results
V = 33.05 Å³/atom
DFT total energy = -4.66 eV per atom
ΔE to the lowest computed polymorph = 0 meV/atom
energy relative to the elements = 2 kJ per mole of atoms

Cell: 3.603 11.931 6.239 Å, 69.76 73.18 98.68°
Atoms (fractional coordinates):
1 Tb 0.856 0.142 0.429
2 Tb 0.144 0.858 0.571
3 Nd 0.000 0.000 0.000
4 Nd 0.571 0.428 0.287
5 Nd 0.429 0.572 0.713
6 Ho 0.712 0.284 0.861
7 Ho 0.288 0.716 0.139

***

[4]
VASP calculation (PBE) on crystalline Tb5NdHo12 at its relaxed geometry.

Results
V = 31.40 Å³/atom
DFT total energy = -4.58 eV per atom
energy relative to the elements = 2 kJ per mole of atoms

Cell: 10.616 10.620 6.133 Å, 73.35 90.00 60.01°
Atoms (fractional coordinates):
1 Tb 0.500 0.000 0.500
2 Tb 0.167 0.665 0.501
3 Tb 0.833 0.335 0.499
4 Tb 0.667 0.667 0.000
5 Tb 0.333 0.333 0.000
6 Nd 0.000 0.000 0.000
7 Ho 0.832 0.000 0.500
8 Ho 0.168 0.000 0.500
9 Ho 0.666 0.000 0.000
10 Ho 0.334 0.000 0.000
11 Ho 0.335 0.665 0.000
12 Ho 0.000 0.665 0.000
13 Ho 0.000 0.335 0.000
14 Ho 0.665 0.335 0.000
15 Ho 0.500 0.333 0.501
16 Ho 0.833 0.667 0.500
17 Ho 0.167 0.333 0.500
18 Ho 0.500 0.667 0.499

***

[5]
VASP calculation (PBE) on crystalline TbNd3Ho at its relaxed geometry.

Results
V = 33.67 Å³/atom
DFT total energy = -4.69 eV per atom
energy relative to the elements = 1 kJ per mole of atoms

Cell: 3.639 7.235 25.572 Å, 90.00 90.00 90.00°
Atoms (fractional coordinates):
1 Tb 0.750 0.623 0.649
2 Tb 0.250 0.877 0.149
3 Tb 0.250 0.377 0.351
4 Tb 0.750 0.123 0.851
5 Nd 0.250 0.870 0.750
6 Nd 0.750 0.630 0.250
7 Nd 0.750 0.130 0.250
8 Nd 0.250 0.370 0.750
9 Nd 0.750 0.119 0.649
10 Nd 0.250 0.381 0.149
11 Nd 0.250 0.881 0.351
12 Nd 0.750 0.619 0.851
13 Nd 0.750 0.627 0.451
14 Nd 0.250 0.873 0.951
15 Nd 0.250 0.373 0.549
16 Nd 0.750 0.127 0.049
17 Ho 0.250 0.874 0.549
18 Ho 0.750 0.626 0.049
19 Ho 0.750 0.126 0.451
20 Ho 0.250 0.374 0.951

***

[6]
VASP calculation (PBE) on crystalline Tb2NdHo9 at its relaxed geometry.

Results
V = 31.72 Å³/atom
DFT total energy = -4.56 eV per atom
ΔE to the lowest computed polymorph = 24 meV/atom
energy relative to the elements = 4 kJ per mole of atoms

Cell: 3.503 11.200 11.200 Å, 120.00 90.00 90.00°
Atoms (fractional coordinates):
1 Tb 0.000 0.333 0.667
2 Tb 0.000 0.667 0.333
3 Nd 0.000 0.000 0.000
4 Ho 0.000 0.000 0.500
5 Ho 0.000 0.500 0.500
6 Ho 0.000 0.500 0.000
7 Ho 0.500 0.355 0.178
8 Ho 0.500 0.178 0.822
9 Ho 0.500 0.178 0.355
10 Ho 0.500 0.822 0.645
11 Ho 0.500 0.822 0.178
12 Ho 0.500 0.645 0.822

***

[7]
VASP calculation (PBE) on crystalline Tb2NdHo4 at its relaxed geometry.

Results
V = 31.93 Å³/atom
DFT total energy = -4.49 eV per atom
ΔE to the lowest computed polymorph = 90 meV/atom
energy relative to the elements = 12 kJ per mole of atoms

Cell: 6.056 6.585 11.676 Å, 90.00 106.27 90.00°
Atoms (fractional coordinates):
1 Tb 0.611 0.750 0.010
2 Tb 0.389 0.250 0.990
3 Tb 0.291 0.250 0.450
4 Tb 0.709 0.750 0.550
5 Nd 0.177 0.750 0.137
6 Nd 0.823 0.250 0.863
7 Ho 0.636 0.492 0.290
8 Ho 0.980 0.750 0.835
9 Ho 0.020 0.250 0.165
10 Ho 0.636 0.008 0.290
11 Ho 0.858 0.250 0.578
12 Ho 0.364 0.992 0.710
13 Ho 0.364 0.508 0.710
14 Ho 0.142 0.750 0.422

***

[8]
VASP calculation (PBE) on crystalline Tb9Nd2Ho at its relaxed geometry.

Results
V = 32.32 Å³/atom
DFT total energy = -4.59 eV per atom
ΔE to the lowest computed polymorph = 44 meV/atom
energy relative to the elements = 6 kJ per mole of atoms

Cell: 3.498 11.314 11.314 Å, 120.00 90.00 90.00°
Atoms (fractional coordinates):
1 Tb 0.000 0.000 0.500
2 Tb 0.000 0.500 0.500
3 Tb 0.000 0.500 0.000
4 Tb 0.500 0.346 0.173
5 Tb 0.500 0.173 0.827
6 Tb 0.500 0.173 0.346
7 Tb 0.500 0.827 0.654
8 Tb 0.500 0.827 0.173
9 Tb 0.500 0.654 0.827
10 Nd 0.000 0.333 0.667
11 Nd 0.000 0.667 0.333
12 Ho 0.000 0.000 0.000

***

[9]
VASP calculation (PBE) on crystalline Tb6Nd2Ho3 at its relaxed geometry.

Results
V = 34.13 Å³/atom
DFT total energy = -4.37 eV per atom
ΔE to the lowest computed polymorph = 94 meV/atom
energy relative to the elements = 26 kJ per mole of atoms

Cell: 4.743 4.743 17.022 Å, 98.01 98.01 90.00°
Atoms (fractional coordinates):
1 Tb 0.122 0.622 0.244
2 Tb 0.622 0.122 0.244
3 Tb 0.878 0.378 0.756
4 Tb 0.378 0.878 0.756
5 Tb 0.697 0.697 0.394
6 Tb 0.303 0.303 0.606
7 Nd 0.454 0.454 0.908
8 Nd 0.546 0.546 0.092
9 Ho 0.000 0.000 0.000
10 Ho 0.799 0.799 0.599
11 Ho 0.201 0.201 0.401

***

[10]
VASP calculation (PBE) on crystalline Tb7NdHo12 at its relaxed geometry.

Results
V = 35.32 Å³/atom
DFT total energy = -3.91 eV per atom
ΔE to the lowest computed polymorph = 398 meV/atom
energy relative to the elements = 67 kJ per mole of atoms

Cell: 9.717 9.717 9.717 Å, 109.47 109.47 109.47°
Atoms (fractional coordinates):
1 Tb 0.500 0.500 0.000
2 Tb 0.000 0.500 0.500
3 Tb 0.500 0.000 0.500
4 Tb 0.500 0.500 0.500
5 Tb 0.000 0.000 0.500
6 Tb 0.500 0.000 0.000
7 Tb 0.000 0.500 0.000
8 Nd 0.000 0.000 0.000
9 Ho 0.493 0.747 0.746
10 Ho 0.001 0.747 0.254
11 Ho 0.507 0.253 0.254
12 Ho 0.999 0.253 0.746
13 Ho 0.746 0.999 0.253
14 Ho 0.746 0.493 0.747
15 Ho 0.254 0.001 0.747
16 Ho 0.254 0.507 0.253
17 Ho 0.747 0.746 0.493
18 Ho 0.253 0.254 0.507
19 Ho 0.747 0.254 0.001
20 Ho 0.253 0.746 0.999

***

[11]
VASP calculation (PBE) on crystalline Tb6Nd2Ho5 at its relaxed geometry.

Results
V = 32.69 Å³/atom
DFT total energy = -4.53 eV per atom
energy relative to the elements = 10 kJ per mole of atoms

Cell: 3.592 11.707 20.212 Å, 90.00 90.00 90.00°
Atoms (fractional coordinates):
1 Tb 0.000 0.080 0.366
2 Tb 0.000 0.920 0.634
3 Tb 0.000 0.580 0.134
4 Tb 0.000 0.420 0.866
5 Tb 0.500 0.323 0.127
6 Tb 0.500 0.677 0.873
7 Tb 0.500 0.823 0.373
8 Tb 0.500 0.177 0.627
9 Tb 0.000 0.559 0.422
10 Tb 0.000 0.441 0.578
11 Tb 0.000 0.059 0.078
12 Tb 0.000 0.941 0.922
13 Nd 0.000 0.333 0.285
14 Nd 0.000 0.667 0.715
15 Nd 0.000 0.833 0.215
16 Nd 0.000 0.167 0.785
17 Ho 0.500 0.301 0.448
18 Ho 0.500 0.699 0.552
19 Ho 0.500 0.801 0.052
20 Ho 0.500 0.199 0.948
21 Ho 0.500 0.593 0.278
22 Ho 0.500 0.407 0.722
23 Ho 0.500 0.093 0.222
24 Ho 0.500 0.907 0.778
25 Ho 0.500 0.500 0.000
26 Ho 0.500 0.000 0.500

***

[12]
VASP calculation (PBE) on crystalline Tb2Nd2Ho3 at its relaxed geometry.

Results
V = 33.14 Å³/atom
DFT total energy = -4.43 eV per atom
ΔE to the lowest computed polymorph = 89 meV/atom
energy relative to the elements = 21 kJ per mole of atoms

Cell: 8.447 8.447 8.447 Å, 109.47 109.47 109.47°
Atoms (fractional coordinates):
1 Tb 0.000 0.000 0.418
2 Tb 0.500 0.418 0.500
3 Tb 0.582 0.082 0.082
4 Tb 0.918 0.500 0.000
5 Nd 0.000 0.000 0.814
6 Nd 0.500 0.814 0.500
7 Nd 0.186 0.686 0.686
8 Nd 0.314 0.500 0.000
9 Ho 0.696 0.750 0.946
10 Ho 0.804 0.250 0.554
11 Ho 0.054 0.304 0.250
12 Ho 0.446 0.196 0.750
13 Ho 0.250 0.946 0.196
14 Ho 0.750 0.554 0.304

***

[13]
VASP calculation (PBE) on crystalline Tb3Nd4Ho2 at its relaxed geometry.

Results
V = 33.11 Å³/atom
DFT total energy = -4.63 eV per atom
ΔE to the lowest computed polymorph = 0 meV/atom
energy relative to the elements = 5 kJ per mole of atoms

Cell: 7.091 9.848 9.848 Å, 60.06 90.00 90.00°
Atoms (fractional coordinates):
1 Tb 0.750 0.171 0.171
2 Tb 0.750 0.829 0.829
3 Tb 0.250 0.829 0.829
4 Tb 0.250 0.171 0.171
5 Tb 0.250 0.500 0.500
6 Tb 0.750 0.500 0.500
7 Nd 0.500 0.822 0.153
8 Nd 0.000 0.847 0.178
9 Nd 0.500 0.178 0.847
10 Nd 0.000 0.153 0.822
11 Nd 0.000 0.175 0.481
12 Nd 0.500 0.519 0.825
13 Nd 0.000 0.825 0.519
14 Nd 0.500 0.481 0.175
15 Ho 0.500 0.156 0.521
16 Ho 0.000 0.479 0.844
17 Ho 0.500 0.844 0.479
18 Ho 0.000 0.521 0.156

***

[14]
VASP calculation (PBE) on crystalline Tb3Nd2Ho8 at its relaxed geometry.

Results
V = 33.53 Å³/atom
DFT total energy = -4.38 eV per atom
energy relative to the elements = 24 kJ per mole of atoms

Cell: 5.538 7.617 11.016 Å, 110.25 90.00 90.00°
Atoms (fractional coordinates):
1 Tb 0.500 0.000 0.000
2 Tb 0.000 0.288 0.000
3 Tb 0.000 0.712 0.000
4 Nd 0.500 0.240 0.481
5 Nd 0.500 0.760 0.519
6 Ho 0.000 0.662 0.324
7 Ho 0.000 0.338 0.676
8 Ho 0.000 0.129 0.257
9 Ho 0.000 0.871 0.743
10 Ho 0.500 0.606 0.786
11 Ho 0.500 0.180 0.786
12 Ho 0.500 0.820 0.214
13 Ho 0.500 0.394 0.214

***

[15]
VASP calculation (PBE) on crystalline TbNd2Ho8 at its relaxed geometry.

Results
V = 32.56 Å³/atom
DFT total energy = -4.44 eV per atom
ΔE to the lowest computed polymorph = 14 meV/atom
energy relative to the elements = 17 kJ per mole of atoms

Cell: 6.614 6.657 8.898 Å, 99.34 111.81 90.00°
Atoms (fractional coordinates):
1 Tb 0.000 0.000 0.000
2 Nd 0.755 0.690 0.510
3 Nd 0.245 0.310 0.490
4 Ho 0.826 0.401 0.173
5 Ho 0.652 0.599 0.827
6 Ho 0.800 0.199 0.601
7 Ho 0.200 0.801 0.399
8 Ho 0.348 0.401 0.173
9 Ho 0.174 0.599 0.827
10 Ho 0.589 0.906 0.177
11 Ho 0.411 0.094 0.823

***

[16]
VASP calculation (PBE) on crystalline Tb5NdHo at its relaxed geometry.

Results
V = 42.61 Å³/atom
DFT total energy = -3.56 eV per atom
ΔE to the lowest computed polymorph = 894 meV/atom
energy relative to the elements = 104 kJ per mole of atoms

Cell: 5.790 7.901 7.901 Å, 66.67 68.51 68.51°
Atoms (fractional coordinates):
1 Tb 0.500 0.180 0.820
2 Tb 0.500 0.820 0.180
3 Tb 0.748 0.252 0.252
4 Tb 0.252 0.748 0.748
5 Tb 0.000 0.500 0.500
6 Nd 0.000 0.000 0.000
7 Ho 0.500 0.500 0.500

***

[17]
VASP calculation (PBE) on crystalline TbNd2Ho5 at its relaxed geometry.

Results
V = 32.09 Å³/atom
DFT total energy = -4.61 eV per atom
ΔE to the lowest computed polymorph = 0 meV/atom
energy relative to the elements = 2 kJ per mole of atoms

Cell: 5.041 7.136 14.272 Å, 90.00 90.00 90.00°
Atoms (fractional coordinates):
1 Tb 0.000 0.000 0.500
2 Tb 0.000 0.500 0.000
3 Nd 0.500 0.250 0.625
4 Nd 0.500 0.750 0.375
5 Nd 0.500 0.250 0.125
6 Nd 0.500 0.750 0.875
7 Ho 0.000 0.000 0.000
8 Ho 0.000 0.500 0.500
9 Ho 0.000 0.500 0.750
10 Ho 0.000 0.500 0.250
11 Ho 0.000 0.000 0.250
12 Ho 0.000 0.000 0.750
13 Ho 0.500 0.250 0.875
14 Ho 0.500 0.750 0.125
15 Ho 0.500 0.250 0.375
16 Ho 0.500 0.750 0.625

***

[18]
VASP calculation (PBE) on crystalline Tb2NdHo8 at its relaxed geometry.

Results
V = 31.47 Å³/atom
DFT total energy = -4.58 eV per atom
ΔE to the lowest computed polymorph = 0 meV/atom
energy relative to the elements = 2 kJ per mole of atoms

Cell: 5.010 7.928 9.377 Å, 104.73 105.49 90.00°
Atoms (fractional coordinates):
1 Tb 0.772 0.363 0.545
2 Tb 0.228 0.637 0.455
3 Nd 0.500 0.000 0.000
4 Ho 0.409 0.543 0.818
5 Ho 0.682 0.908 0.364
6 Ho 0.863 0.817 0.726
7 Ho 0.955 0.274 0.909
8 Ho 0.137 0.183 0.274
9 Ho 0.318 0.092 0.636
10 Ho 0.591 0.457 0.182
11 Ho 0.045 0.726 0.091

***

[19]
VASP calculation (PBE) on crystalline TbNd4Ho7 at its relaxed geometry.

Results
V = 32.77 Å³/atom
DFT total energy = -4.56 eV per atom
ΔE to the lowest computed polymorph = 0 meV/atom
energy relative to the elements = 8 kJ per mole of atoms

Cell: 6.842 6.565 11.855 Å, 75.29 49.80 81.70°
Atoms (fractional coordinates):
1 Tb 0.000 0.000 0.000
2 Nd 0.525 0.639 0.284
3 Nd 0.475 0.361 0.716
4 Nd 0.692 0.836 0.693
5 Nd 0.308 0.164 0.307
6 Ho 0.802 0.512 0.950
7 Ho 0.198 0.488 0.050
8 Ho 0.057 0.318 0.642
9 Ho 0.943 0.682 0.358
10 Ho 0.278 0.812 0.617
11 Ho 0.500 0.000 0.000
12 Ho 0.722 0.188 0.383